# 1
Material: Rb4Ce3ErTe8
Method: DFT, PBE
State: optimized geometry

Cell: 10.0798 10.0798 10.0798 Å, 54.91 54.91 54.91°
Last column: nearest neighbours and their distance in Å.
Sites, in units of the cell vectors:
Rb1 0.0000 0.0000 0.0000  6 Te 3.76
Rb2 0.0000 0.5000 0.5000  6 Te 3.67-3.68
Rb3 0.5000 0.0000 0.5000  6 Te 3.67-3.68
Rb4 0.5000 0.5000 0.0000  6 Te 3.67-3.68
Ce1 0.0000 0.0000 0.5000  6 Te 3.21-3.22
Ce2 0.0000 0.5000 0.0000  6 Te 3.21-3.22
Ce3 0.5000 0.0000 0.0000  6 Te 3.21-3.22
Er1 0.5000 0.5000 0.5000  6 Te 3.12
Te1 0.2352 0.2352 0.2352  3 Ce 3.21
Te2 0.2433 0.7290 0.7290  1 Er 3.12, 2 Ce 3.22
Te3 0.2710 0.2710 0.7567  1 Er 3.12, 2 Ce 3.22
Te4 0.2710 0.7567 0.2710  1 Er 3.12, 2 Ce 3.22
Te5 0.7290 0.2433 0.7290  1 Er 3.12, 2 Ce 3.22
Te6 0.7290 0.7290 0.2433  1 Er 3.12, 2 Ce 3.22
Te7 0.7567 0.2710 0.2710  1 Er 3.12, 2 Ce 3.22
Te8 0.7648 0.7648 0.7648  3 Ce 3.21

Calculated values
Magnetization   3.01 Bohr magnetons per cell
Calculated volume   39.9 Å³/atom
Symmetry   R-3m (166)
E_form (uncorrected)   -1.342 eV per atom

---

# 2
Material: Rb3Ce2ErTe6
Method: DFT, PBE
State: optimized geometry

Cell: 8.0224 8.0224 8.9436 Å, 98.61 98.61 120.00°
Last column: nearest neighbours and their distance in Å.
Sites, in units of the cell vectors:
Rb1 0.0000 0.0000 0.0000  6 Te 3.66-3.75
Rb2 0.3312 0.6688 0.0000  6 Te 3.67-3.73
Rb3 0.6688 0.3312 0.0000  6 Te 3.67-3.73
Ce1 0.1664 0.8336 0.5000  6 Te 3.21-3.22
Ce2 0.8336 0.1664 0.5000  6 Te 3.21-3.22
Er1 0.5000 0.5000 0.5000  6 Te 3.11-3.12
Te1 0.1094 0.4329 0.2984  1 Er 3.11, 2 Ce 3.21-3.22
Te2 0.2443 0.2443 0.7023  1 Er 3.12, 2 Ce 3.22
Te3 0.4329 0.1094 0.2984  1 Er 3.11, 2 Ce 3.21-3.22
Te4 0.5671 0.8906 0.7016  1 Er 3.11, 2 Ce 3.21-3.22
Te5 0.7557 0.7557 0.2977  1 Er 3.12, 2 Ce 3.22
Te6 0.8906 0.5671 0.7016  1 Er 3.11, 2 Ce 3.21-3.22

Calculated values
Magnetization   2.00 Bohr magnetons per cell
Calculated volume   39.6 Å³/atom
Symmetry   C2/m (12)
E_form (uncorrected)   -1.345 eV per atom

---

# 3
Material: Ce2ErRh
Method: DFT, PBE
State: optimized geometry

Cell: 9.3967 9.3967 9.3967 Å, 22.92 22.92 22.92°
Last column: nearest neighbours and their distance in Å.
Sites, in units of the cell vectors:
Ce1 0.2313 0.2313 0.2313  3 Rh 2.79
Ce2 0.7687 0.7687 0.7687  3 Rh 2.79
Er1 0.0000 0.0000 0.0000  6 Ce 3.53, 6 Er 3.73
Rh1 0.5000 0.5000 0.5000  6 Ce 2.79

Calculated values
ΔE_f   -22.9 kJ per mole of atoms
Magnetization   0.89 Bohr magnetons per cell
Calculated volume   27.6 Å³/atom
Symmetry   R-3m (166)

---

# 4
Material: Ce2ErRh
Method: DFT, PBE
State: optimized geometry

Cell: 3.6885 3.6885 7.4650 Å, 90.00 90.00 90.00°
Last column: nearest neighbours and their distance in Å.
Sites, in units of the cell vectors:
Ce1 0.0000 0.0000 0.1947  1 Ce 2.91, 4 Rh 2.99
Ce2 0.0000 0.0000 0.8053  1 Ce 2.91, 4 Rh 2.99
Er1 0.5000 0.5000 0.5000  8 Ce 3.46, 4 Er 3.69, 2 Rh 3.73
Rh1 0.5000 0.5000 0.0000  8 Ce 2.99

Calculated values
ΔE_f   -26.1 kJ per mole of atoms
Magnetization   0.22 Bohr magnetons per cell
Calculated volume   25.4 Å³/atom
Symmetry   P4/mmm (123)

---

# 5
Material: Ce2Er2Rh3
Method: DFT, PBE
State: optimized geometry

Cell: 5.8804 5.8804 7.1066 Å, 100.43 100.43 46.25°
Last column: nearest neighbours and their distance in Å.
Sites, in units of the cell vectors:
Ce1 0.1271 0.1271 0.3609  2 Rh 2.47-2.66
Ce2 0.8729 0.8729 0.6391  2 Rh 2.47-2.66
Er1 0.3625 0.3625 0.0787  5 Rh 2.85-2.88
Er2 0.6375 0.6375 0.9213  5 Rh 2.85-2.88
Rh1 0.0000 0.0000 0.0000  2 Ce 2.66, 4 Er 2.86
Rh2 0.1884 0.1884 0.7146  1 Ce 2.47
Rh3 0.8116 0.8116 0.2854  1 Ce 2.47

Calculated values
ΔE_f   -63.7 kJ per mole of atoms
Magnetization   1.05 Bohr magnetons per cell
Calculated volume   24.9 Å³/atom
Symmetry   C2/m (12)

---

# 6
Material: CeErRh
Method: DFT, PBE
State: optimized geometry

Cell: 6.5516 6.5516 6.5516 Å, 149.23 149.23 44.07°
Last column: nearest neighbours and their distance in Å.
Sites, in units of the cell vectors:
Ce1 0.0000 0.0000 0.0000  4 Rh 2.98, 1 Er 3.31
Er1 0.2727 0.2727 0.0000  4 Rh 2.95
Rh1 0.6384 0.6384 0.0000  4 Er 2.95, 4 Ce 2.98

Calculated values
ΔE_f   -47.0 kJ per mole of atoms
Magnetization   1.50 Bohr magnetons per cell
Calculated volume   24.5 Å³/atom
Symmetry   I4mm (107)

---

# 7
Material: CeEr3Rh3
Method: DFT, PBE
State: optimized geometry

Cell: 6.8141 6.8141 6.9232 Å, 90.88 90.88 92.69°
Last column: nearest neighbours and their distance in Å.
Sites, in units of the cell vectors:
Ce1 0.2480 0.2480 0.1277  3 Rh 2.54-2.75
Ce2 0.7520 0.7520 0.8723  3 Rh 2.54-2.75
Er1 0.1770 0.8230 0.5000  6 Rh 2.82-2.94
Er2 0.2546 0.7454 0.0000  6 Rh 2.92-3.08
Er3 0.3299 0.3299 0.6187  3 Rh 2.80-2.84
Er4 0.6701 0.6701 0.3813  3 Rh 2.80-2.84
Er5 0.7454 0.2546 0.0000  6 Rh 2.92-3.08
Er6 0.8230 0.1770 0.5000  6 Rh 2.82-2.94
Rh1 0.0239 0.4910 0.2818  1 Ce 2.54, 1 Er 2.84
Rh2 0.0698 0.0698 0.8079  2 Ce 2.75-3.03, 5 Er 2.80-2.92, 1 Rh 2.99
Rh3 0.4910 0.0239 0.2818  1 Ce 2.54, 1 Er 2.84
Rh4 0.5090 0.9761 0.7182  1 Ce 2.54, 1 Er 2.84
Rh5 0.9302 0.9302 0.1921  2 Ce 2.75-3.03, 5 Er 2.80-2.92, 1 Rh 2.99
Rh6 0.9761 0.5090 0.7182  1 Ce 2.54, 1 Er 2.84

Calculated values
ΔE_f   -68.4 kJ per mole of atoms
Magnetization   0.00 Bohr magnetons per cell
Calculated volume   22.9 Å³/atom
Symmetry   C2/m (12)

---

# 8
Material: CeErRh
Method: DFT, PBE
State: optimized geometry

Cell: 4.5554 4.5554 4.0331 Å, 90.00 90.00 120.00°
Last column: nearest neighbours and their distance in Å.
Sites, in units of the cell vectors:
Ce1 0.0000 0.0000 0.0000  3 Rh 2.88, 3 Er 3.20
Er1 0.6667 0.3333 0.5492  3 Rh 2.83
Rh1 0.3333 0.6667 0.2933  3 Er 2.83, 3 Ce 2.88

Calculated values
ΔE_f   -32.3 kJ per mole of atoms
Magnetization   0.65 Bohr magnetons per cell
Calculated volume   24.2 Å³/atom
Symmetry   P3m1 (156)